(1)
Material: Na2CaP4O12
Method: DFT, GGA-PBEsol
State: optimized geometry

Results
- V (Å³ per cell) = 461.5
- formation energy (no corrections) (meV/atom) = -2387

Unit cell a=9.6450 b=9.6450 c=4.9613 alpha=90.00 beta=90.00 gamma=90.00
With the nearest neighbours (Å) after each atom.
Space group P4/nbm (No. 125, origin choice 2)
Inequivalent atoms, fractional coordinates:
Na1 0.0000 0.0000 0.0000 [4 per cell]  4 O 2.29
Ca1 0.2500 0.2500 0.0000 [2 per cell]  8 O 2.45
P1 0.0311 0.7500 0.5000 [8 per cell]  4 O 1.49-1.63
O1 0.0446 0.1890 0.2657 [16 per cell]  1 P 1.49
O2 0.1366 0.6366 0.6295 [8 per cell]  2 P 1.63

---

(2)
Material: Fe4ReOs
Method: DFT, GGA-PBEsol
State: optimized geometry

Results
- V (Å³ per cell) = 274.2
- energy of formation from the pure elements (meV per atom) = -7

Unit cell a=6.4963 b=6.4963 c=6.4963 alpha=90.00 beta=90.00 gamma=90.00
With the nearest neighbours (Å) after each atom.
Space group F-43m (No. 216)
Inequivalent atoms, fractional coordinates:
Fe1 0.1244 0.1244 0.1244 [16 per cell]  6 Fe 2.29-2.31
Re1 0.0000 0.0000 0.5000 [4 per cell]  12 Fe 2.69, 4 Os 2.81
Os1 0.2500 0.2500 0.7500 [4 per cell]  12 Fe 2.69, 4 Re 2.81

---

(3)
Material: AlTe2Se
Method: DFT, GGA-PBEsol
State: optimized geometry

Results
- V (Å³ per cell) = 91.4
- formation energy (no corrections) (meV/atom) = 199

Unit cell a=5.1781 b=5.1781 c=3.4078 alpha=90.00 beta=90.00 gamma=90.00
With the nearest neighbours (Å) after each atom.
Space group P4/mmm (No. 123)
Inequivalent atoms, fractional coordinates:
Al1 0.0000 0.0000 0.0000 [1 per cell]  8 Te 3.10, 2 Al 3.41
Te1 0.0000 0.5000 0.5000 [2 per cell]  4 Se 3.10, 4 Al 3.10, 2 Te 3.41
Se1 0.5000 0.5000 0.0000 [1 per cell]  8 Te 3.10, 2 Se 3.41